First-principles (PBE) data for a geometry-optimized Y2MgSc structure, as listed in Alexandria.

Calculated values
The calculation puts the total energy at -0.19187 Ha/atom. The formation energy is -0.007 eV/atom.

```
data_Y2MgSc
_chemical_formula_sum 'Y2 Mg1 Sc1'
_symmetry_space_group_name_H-M 'P 4 m m'
_symmetry_Int_Tables_number 99
_cell_length_a 3.5721
_cell_length_b 3.5721
_cell_length_c 8.7834
_cell_angle_alpha 90.00
_cell_angle_beta 90.00
_cell_angle_gamma 90.00
loop_
_symmetry_equiv_pos_as_xyz
'x,y,z'
'-y,x,z'
'-x,-y,z'
'y,-x,z'
'-x,y,z'
'y,x,z'
'x,-y,z'
'-y,-x,z'
loop_
_atom_site_label
_atom_site_fract_x
_atom_site_fract_y
_atom_site_fract_z
Y1 0.0000 0.0000 0.0000
Y2 0.5000 0.5000 0.2891
Mg1 0.0000 0.0000 0.5340
Sc1 0.5000 0.5000 0.7422
```